No. 1
## Rb2TlHI6 (PBE)

Data for a relaxed Rb2TlHI6 crystal. Values from VASP.

Geometry as Quantum ESPRESSO input:
```
&SYSTEM
  ibrav = 0, nat = 10, ntyp = 4
/
ATOMIC_SPECIES
Rb 85.47 Rb.upf
Tl 204.38 Tl.upf
H 1.01 H.upf
I 126.90 I.upf
ATOMIC_POSITIONS crystal
Rb 0.2500 0.7500 0.5000
Rb 0.7500 0.2500 0.5000
Tl 0.0000 0.0000 0.0000
H 0.5000 0.5000 0.0000
I 0.2285 0.2285 0.4570
I 0.2285 0.7715 0.0000
I 0.3180 0.3180 0.0000
I 0.6820 0.6820 0.0000
I 0.7715 0.2285 0.0000
I 0.7715 0.7715 0.5430
CELL_PARAMETERS angstrom
-4.5635 4.5635 5.2305
4.5635 -4.5635 5.2305
4.5635 4.5635 -5.2305
```

## Properties
The volume comes out at 43.6 Å³ per atom. The value obtained for the theoretical density is 4.34 Mg/m³. The calculated total energy is -23.41 eV/cell. The value obtained for the size of the total moment is 0.00 μB/cell.

***

No. 2
## Rb2VHI6 (PBE)

Data for a relaxed Rb2VHI6 crystal. Values from VASP.

Geometry as Quantum ESPRESSO input:
```
&SYSTEM
  ibrav = 0, nat = 10, ntyp = 4
/
ATOMIC_SPECIES
Rb 85.47 Rb.upf
V 50.94 V.upf
H 1.01 H.upf
I 126.90 I.upf
ATOMIC_POSITIONS crystal
Rb 0.2500 0.7500 0.5000
Rb 0.7500 0.2500 0.5000
V 0.0000 0.0000 0.0000
H 0.5000 0.5000 0.0000
I 0.2340 0.2340 0.0000
I 0.2430 0.2430 0.4860
I 0.2430 0.7570 0.0000
I 0.7570 0.2430 0.0000
I 0.7570 0.7570 0.5140
I 0.7660 0.7660 0.0000
CELL_PARAMETERS angstrom
-3.9903 3.9903 5.8914
3.9903 -3.9903 5.8914
3.9903 3.9903 -5.8914
```

## Properties
The volume comes out at 37.5 Å³ per atom. The value obtained for the theoretical density is 4.36 Mg/m³. The calculated total energy is -29.18 eV/cell. The value obtained for the size of the total moment is 2.00 μB/cell.

***

No. 3
## Rb2YHI (PBE)

Data for a relaxed Rb2YHI crystal. Values from VASP.

Geometry as Quantum ESPRESSO input:
```
&SYSTEM
  ibrav = 0, nat = 5, ntyp = 4
/
ATOMIC_SPECIES
Rb 85.47 Rb.upf
Y 88.91 Y.upf
H 1.01 H.upf
I 126.90 I.upf
ATOMIC_POSITIONS crystal
Rb 0.0000 0.5000 0.0000
Rb 0.5000 0.0000 0.0000
Y 0.0000 0.0000 0.5000
H 0.5000 0.5000 0.5000
I 0.5000 0.5000 0.0000
CELL_PARAMETERS angstrom
7.7072 0.0000 0.0000
0.0000 7.7072 0.0000
0.0000 0.0000 4.0995
```

## Properties
The volume comes out at 48.7 Å³ per atom. The value obtained for the theoretical density is 2.64 Mg/m³. The calculated total energy is -11.49 eV/cell. The value obtained for the size of the total moment is 1.89 μB/cell.

***

Number 2 is which compound? Rb2VHI6